No. 1
# Rb3YTm3Te8, relaxed, DFT PBE-GGA
data_Rb3YTm3Te8
_chemical_formula_sum 'Rb9 Y3 Tm9 Te24'
_cell_length_a 8.7398
_cell_length_b 8.7398
_cell_length_c 26.5029
_cell_angle_alpha 90.00
_cell_angle_beta 90.00
_cell_angle_gamma 120.00
_symmetry_space_group_name_H-M 'R -3 m'
_symmetry_Int_Tables_number 166
_symmetry_space_group_name_Hall '-R 3 2"'
loop_
_atom_site_label
_atom_site_fract_x
_atom_site_fract_y
_atom_site_fract_z
Rb1 0.0000 0.5000 0.0000
Y1 0.0000 0.0000 0.5000
Tm1 0.0000 0.5000 0.5000
Te1 0.0000 0.0000 0.2325
Te2 0.0057 0.5028 0.7671
# Formation energy without anion corrections (eV/atom): -1.304
# Calculated volume (Å³/atom): 39.0
# Calculated total energy (eV/cell): -202.428

***

No. 2
# Rb4YTm3Te8, relaxed, DFT PBE-GGA
data_Rb4YTm3Te8
_chemical_formula_sum 'Rb12 Y3 Tm9 Te24'
_cell_length_a 8.9889
_cell_length_b 8.9889
_cell_length_c 25.6348
_cell_angle_alpha 90.00
_cell_angle_beta 90.00
_cell_angle_gamma 120.00
_symmetry_space_group_name_H-M 'R -3 m'
_symmetry_Int_Tables_number 166
_symmetry_space_group_name_Hall '-R 3 2"'
loop_
_atom_site_label
_atom_site_fract_x
_atom_site_fract_y
_atom_site_fract_z
Rb1 0.0000 0.0000 0.0000
Rb2 0.0000 0.5000 0.0000
Y1 0.0000 0.0000 0.5000
Tm1 0.0000 0.5000 0.5000
Te1 0.0000 0.0000 0.2322
Te2 0.0028 0.5014 0.7674
# Formation energy without anion corrections (eV/atom): -1.368
# Calculated volume (Å³/atom): 37.4
# Calculated total energy (eV/cell): -212.312

***

No. 3
# Rb3Y2TmTe6, relaxed, DFT PBE-GGA
data_Rb3Y2TmTe6
_chemical_formula_sum 'Rb6 Y4 Tm2 Te12'
_cell_length_a 7.8175
_cell_length_b 13.5405
_cell_length_c 8.9354
_cell_angle_alpha 90.00
_cell_angle_beta 106.96
_cell_angle_gamma 90.00
_symmetry_space_group_name_H-M 'C 1 2/m 1'
_symmetry_Int_Tables_number 12
loop_
_symmetry_equiv_pos_as_xyz
'x,y,z'
'-x,-y,-z'
'-x,y,-z'
'x,-y,z'
'x+1/2,y+1/2,z'
'-x+1/2,-y+1/2,-z'
'-x+1/2,y+1/2,-z'
'x+1/2,-y+1/2,z'
loop_
_atom_site_label
_atom_site_fract_x
_atom_site_fract_y
_atom_site_fract_z
Rb1 0.0000 0.0000 0.0000
Rb2 0.0000 0.3323 0.0000
Y1 0.0000 0.1665 0.5000
Tm1 0.0000 0.5000 0.5000
Te1 0.2313 0.3349 0.6986
Te2 0.2362 0.0000 0.6989
# Formation energy without anion corrections (eV/atom): -1.386
# Calculated volume (Å³/atom): 37.7
# Calculated total energy (eV/cell): -111.570

***

No. 4
# Rb3YTm2Te6, relaxed, DFT PBE-GGA
data_Rb3YTm2Te6
_chemical_formula_sum 'Rb6 Y2 Tm4 Te12'
_cell_length_a 7.7906
_cell_length_b 13.4939
_cell_length_c 8.9308
_cell_angle_alpha 90.00
_cell_angle_beta 106.90
_cell_angle_gamma 90.00
_symmetry_space_group_name_H-M 'C 1 2/m 1'
_symmetry_Int_Tables_number 12
loop_
_symmetry_equiv_pos_as_xyz
'x,y,z'
'-x,-y,-z'
'-x,y,-z'
'x,-y,z'
'x+1/2,y+1/2,z'
'-x+1/2,-y+1/2,-z'
'-x+1/2,y+1/2,-z'
'x+1/2,-y+1/2,z'
loop_
_atom_site_label
_atom_site_fract_x
_atom_site_fract_y
_atom_site_fract_z
Rb1 0.0000 0.0000 0.0000
Rb2 0.0000 0.3341 0.0000
Y1 0.0000 0.5000 0.5000
Tm1 0.0000 0.1668 0.5000
Te1 0.2294 0.0000 0.6977
Te2 0.2342 0.3318 0.6979
# Formation energy without anion corrections (eV/atom): -1.372
# Calculated volume (Å³/atom): 37.4
# Calculated total energy (eV/cell): -107.243